Record 1
The following is a DFT calculation (PBE-GGA) of Mn2BeI2 after structural relaxation.

Distance to the lowest polymorph of the same formula ... 0.00 eV per formula unit
Energy relative to the elements, uncorrected ... 0.797 eV/atom

```
data_Mn2BeI2
_chemical_formula_sum 'Mn4 Be2 I4'
_cell_length_a 3.733
_cell_length_b 3.733
_cell_length_c 15.818
_cell_angle_alpha 90.00
_cell_angle_beta 90.00
_cell_angle_gamma 90.00
_symmetry_space_group_name_H-M 'I 4/m m m'
_symmetry_Int_Tables_number 139
_symmetry_space_group_name_Hall '-I 4 2'
loop_
_atom_site_label
_atom_site_fract_x
_atom_site_fract_y
_atom_site_fract_z
Mn1 0.000 0.500 0.250
Be1 0.000 0.000 0.000
I1 0.000 0.000 0.382
```

=====

Record 2
The following is a DFT calculation (PBE-GGA) of MnBeI3 after structural relaxation.

Distance to the lowest polymorph of the same formula ... 2.80 eV per formula unit
Energy relative to the elements, uncorrected ... 0.894 eV/atom

```
data_MnBeI3
_chemical_formula_sum 'Mn1 Be1 I3'
_cell_length_a 5.319
_cell_length_b 5.319
_cell_length_c 5.319
_cell_angle_alpha 90.00
_cell_angle_beta 90.00
_cell_angle_gamma 90.00
_symmetry_space_group_name_H-M 'P m -3 m'
_symmetry_Int_Tables_number 221
_symmetry_space_group_name_Hall '-P 4 2 3'
loop_
_atom_site_label
_atom_site_fract_x
_atom_site_fract_y
_atom_site_fract_z
Mn1 0.000 0.000 0.000
Be1 0.500 0.500 0.500
I1 0.000 0.000 0.500
```

=====

Record 3
The following is a DFT calculation (PBE-GGA) of Mn3BeI after structural relaxation.

Distance to the lowest polymorph of the same formula ... 0.00 eV per formula unit
Energy relative to the elements, uncorrected ... 0.696 eV/atom

```
data_Mn3BeI
_chemical_formula_sum 'Mn3 Be1 I1'
_cell_length_a 4.342
_cell_length_b 4.342
_cell_length_c 4.342
_cell_angle_alpha 90.00
_cell_angle_beta 90.00
_cell_angle_gamma 90.00
_symmetry_space_group_name_H-M 'P m -3 m'
_symmetry_Int_Tables_number 221
_symmetry_space_group_name_Hall '-P 4 2 3'
loop_
_atom_site_label
_atom_site_fract_x
_atom_site_fract_y
_atom_site_fract_z
Mn1 0.000 0.000 0.500
Be1 0.000 0.000 0.000
I1 0.500 0.500 0.500
```

=====

Record 4
The following is a DFT calculation (PBE-GGA) of MnBeIN2 after structural relaxation.

Distance to the lowest polymorph of the same formula ... 3.76 eV per formula unit
Energy relative to the elements, uncorrected ... 1.636 eV/atom

```
data_MnBeIN2
_chemical_formula_sum 'Mn1 Be1 I1 N2'
_cell_length_a 3.526
_cell_length_b 3.526
_cell_length_c 5.818
_cell_angle_alpha 90.00
_cell_angle_beta 90.00
_cell_angle_gamma 90.00
_symmetry_space_group_name_H-M 'P 4/m m m'
_symmetry_Int_Tables_number 123
_symmetry_space_group_name_Hall '-P 4 2'
loop_
_atom_site_label
_atom_site_fract_x
_atom_site_fract_y
_atom_site_fract_z
Mn1 0.000 0.000 0.000
Be1 0.500 0.500 0.500
I1 0.500 0.500 0.000
N1 0.000 0.500 0.500
```

=====

Record 5
The following is a DFT calculation (PBE-GGA) of MnBeIN2 after structural relaxation.

Distance to the lowest polymorph of the same formula ... 0.00 eV per formula unit
Energy relative to the elements, uncorrected ... 0.885 eV/atom

```
data_MnBeIN2
_chemical_formula_sum 'Mn1 Be1 I1 N2'
_cell_length_a 3.614
_cell_length_b 3.614
_cell_length_c 5.674
_cell_angle_alpha 90.00
_cell_angle_beta 90.00
_cell_angle_gamma 90.00
_symmetry_space_group_name_H-M 'P 4/m m m'
_symmetry_Int_Tables_number 123
_symmetry_space_group_name_Hall '-P 4 2'
loop_
_atom_site_label
_atom_site_fract_x
_atom_site_fract_y
_atom_site_fract_z
Mn1 0.000 0.000 0.000
Be1 0.500 0.500 0.500
I1 0.000 0.000 0.500
N1 0.000 0.500 0.000
```

=====

Please write out number 2 again, unchanged.
The following is a DFT calculation (PBE-GGA) of MnBeI3 after structural relaxation.

Distance to the lowest polymorph of the same formula ... 2.80 eV per formula unit
Energy relative to the elements, uncorrected ... 0.894 eV/atom

```
data_MnBeI3
_chemical_formula_sum 'Mn1 Be1 I3'
_cell_length_a 5.319
_cell_length_b 5.319
_cell_length_c 5.319
_cell_angle_alpha 90.00
_cell_angle_beta 90.00
_cell_angle_gamma 90.00
_symmetry_space_group_name_H-M 'P m -3 m'
_symmetry_Int_Tables_number 221
_symmetry_space_group_name_Hall '-P 4 2 3'
loop_
_atom_site_label
_atom_site_fract_x
_atom_site_fract_y
_atom_site_fract_z
Mn1 0.000 0.000 0.000
Be1 0.500 0.500 0.500
I1 0.000 0.000 0.500
```

=====

- The highest distance to the lowest polymorph of the same formula belongs to which entry?
  number 4

=====

- What is the distance to the lowest polymorph of the same formula in the fourth record?
  3.76 eV per formula unit

=====

- Which value of distance to the lowest polymorph of the same formula does entry 5 give?
  0.00 eV per formula unit